Ba3InBi | PBE | relaxed

Calculated values
As for the volume: 43.9 A^3/atom. Its space group is C2/m, No. 12. For the energy of formation, the calculation gives -0.556 eV/atom. The distance to the lowest polymorph of the same formula is 0 meV per atom.

abc: 5.5329 10.5277 12.4836
angles: 96.75 89.99 142.05
With the nearest neighbours (Å) after each atom.
Fractional coordinates of all 10 atoms:
In (0.7872, 0.6916, 0.0940)  1 In 3.07
In (0.2128, 0.3084, 0.9060)  1 In 3.07
Ba (0.2041, 0.3025, 0.5997)  5 Bi 3.67-3.94, 1 In 3.82, 1 Ba 3.89
Ba (0.7959, 0.6975, 0.4003)  5 Bi 3.67-3.94, 1 In 3.82, 1 Ba 3.89
Ba (0.2176, 0.9784, 0.7707)  2 Bi 3.59-3.60, 2 In 3.70, 2 Ba 3.85-3.86
Ba (0.2810, 0.6873, 0.8977)  1 Bi 3.68, 5 In 3.69-4.00, 3 Ba 3.84-3.86
Ba (0.7190, 0.3127, 0.1023)  1 Bi 3.68, 5 In 3.69-4.00, 3 Ba 3.84-3.86
Ba (0.7824, 0.0216, 0.2293)  2 Bi 3.59-3.60, 2 In 3.70, 2 Ba 3.85-3.86
Bi (0.3582, 0.7390, 0.6091)  8 Ba 3.59-3.94, 1 Bi 3.71
Bi (0.6418, 0.2610, 0.3909)  8 Ba 3.59-3.94, 1 Bi 3.71

ZnIn2As | PBE | relaxed

Calculated values
As for the volume: 23.3 A^3/atom. Its space group is Fm-3m, No. 225. For the energy of formation, the calculation gives 0.127 eV/atom. The distance to the lowest polymorph of the same formula is 85 meV per atom.

abc: 5.0911 5.0911 5.0911
angles: 60.00 60.00 60.00
With the nearest neighbours (Å) after each atom.
Fractional coordinates of all 4 atoms:
In (0.2500, 0.2500, 0.2500)  4 As 3.12, 4 Zn 3.12
In (0.7500, 0.7500, 0.7500)  4 As 3.12, 4 Zn 3.12
Zn (0.0000, 0.0000, 0.0000)  8 In 3.12
As (0.5000, 0.5000, 0.5000)  8 In 3.12

Th3SbIrN | PBE | relaxed

Calculated values
As for the volume: 28.3 A^3/atom. Its space group is P2_1/m, No. 11.

abc: 4.1288 8.9701 9.3532
angles: 101.61 90.00 90.00
With the nearest neighbours (Å) after each atom.
Fractional coordinates of all 12 atoms:
Th (0.7500, 0.1718, 0.5177)  3 N 2.31-2.37
Th (0.2500, 0.1244, 0.8469)  1 N 2.34
Th (0.2500, 0.5571, 0.8405)  3 Ir 2.83-2.90
Th (0.7500, 0.4429, 0.1595)  3 Ir 2.83-2.90
Th (0.7500, 0.8756, 0.1531)  1 N 2.34
Th (0.2500, 0.8282, 0.4823)  3 N 2.31-2.37
Ir (0.7500, 0.3419, 0.8448)  6 Th 2.83-3.13
Ir (0.2500, 0.6581, 0.1552)  6 Th 2.83-3.13
Sb (0.7500, 0.8252, 0.7742)  7 Th 3.32-3.48, 1 N 3.68
Sb (0.2500, 0.1748, 0.2258)  7 Th 3.32-3.48, 1 N 3.68
N (0.2500, 0.0832, 0.5922)  4 Th 2.31-2.37
N (0.7500, 0.9168, 0.4078)  4 Th 2.31-2.37

SrTlInBi | PBE | relaxed

Calculated values
As for the volume: 31.7 A^3/atom. Its space group is Pmmm, No. 47. For the energy of formation, the calculation gives -0.404 eV/atom. The distance to the lowest polymorph of the same formula is 0 meV per atom.

abc: 4.9610 4.8656 5.2525
angles: 90.00 90.00 90.00
With the nearest neighbours (Å) after each atom.
Fractional coordinates of all 4 atoms:
Sr (0.0000, 0.5000, 0.5000)  4 Bi 3.47, 4 Tl 3.58, 4 In 3.61
Bi (0.5000, 0.0000, 0.5000)  4 Sr 3.47, 4 In 3.58, 4 Tl 3.61
Tl (0.0000, 0.0000, 0.0000)  4 In 3.47, 4 Sr 3.58, 4 Bi 3.61
In (0.5000, 0.5000, 0.0000)  4 Tl 3.47, 4 Bi 3.58, 4 Sr 3.61

Ba2NaLaS | PBE | relaxed

Calculated values
As for the volume: 44.8 A^3/atom. Its space group is P4/mmm, No. 123.

abc: 6.3363 6.3363 5.5846
angles: 90.00 90.00 90.00
With the nearest neighbours (Å) after each atom.
Fractional coordinates of all 5 atoms:
Ba (0.5000, 0.0000, 0.0000)  2 S 3.17
Ba (0.0000, 0.5000, 0.0000)  2 S 3.17
La (0.0000, 0.0000, 0.5000)  2 S 2.79
Na (0.5000, 0.5000, 0.5000)  8 Ba 4.22, 4 La 4.48
S (0.0000, 0.0000, 0.0000)  2 La 2.79

Cd2HgPt | PBE | relaxed

Calculated values
As for the volume: 19.9 A^3/atom. Its space group is Cm, No. 8. For the energy of formation, the calculation gives -0.082 eV/atom.

abc: 5.5505 5.5505 4.9550
angles: 69.71 69.71 34.05
With the nearest neighbours (Å) after each atom.
Fractional coordinates of all 4 atoms:
Pt (0.2443, 0.2443, 0.1874)  7 Cd 2.85-3.08, 2 Hg 2.89
Hg (0.5196, 0.5196, 0.5376)  2 Pt 2.89, 7 Cd 2.93-3.06
Cd (0.7577, 0.7577, 0.7029)  4 Pt 2.86-3.07, 3 Hg 2.93-3.06, 1 Cd 3.15
Cd (0.9784, 0.9784, 0.0720)  3 Pt 2.85-3.08, 4 Hg 2.98-3.00, 1 Cd 3.15

BaAg2N | PBE | relaxed

Calculated values
As for the volume: 26.4 A^3/atom. Its space group is I4_1/amd, No. 141.

abc: 6.6607 6.6607 6.6951
angles: 60.17 60.17 90.00
With the nearest neighbours (Å) after each atom.
Fractional coordinates of all 8 atoms:
Ag (0.3750, 0.6250, 0.7500)  2 N 2.05
Ag (0.3750, 0.1250, 0.2500)  2 N 2.05
Ag (0.3750, 0.6250, 0.2500)  2 N 2.05
Ag (0.8750, 0.6250, 0.7500)  2 N 2.05
N (0.2500, 0.7500, 0.5000)  4 Ag 2.05
N (0.5000, 0.5000, 0.0000)  4 Ag 2.05
Ba (0.0000, 0.0000, 0.0000)  12 Ag 3.91-3.94, 4 Ba 4.09, 4 N 4.09
Ba (0.7500, 0.2500, 0.5000)  12 Ag 3.91-3.94, 4 N 4.09, 4 Ba 4.09

LaRuPt2 | PBE | relaxed

Calculated values
As for the volume: 21.6 A^3/atom. Its space group is Cm, No. 8. For the energy of formation, the calculation gives -0.522 eV/atom.

abc: 4.5277 4.5277 5.5281
angles: 65.76 65.76 60.01
With the nearest neighbours (Å) after each atom.
Fractional coordinates of all 4 atoms:
Pt (0.9515, 0.9515, 0.1451)  3 Pt 2.72, 3 Ru 2.73, 1 La 2.93
Pt (0.2337, 0.2337, 0.2985)  3 Ru 2.61, 3 Pt 2.72
La (0.7511, 0.7511, 0.7479)  1 Ru 2.73, 1 Pt 2.93
Ru (0.5637, 0.5637, 0.3085)  6 Pt 2.61-2.73, 1 La 2.73

Tc4PtCl | PBE | relaxed

Calculated values
As for the volume: 16.3 A^3/atom. Its space group is F-43m, No. 216.

abc: 5.1675 5.1675 5.1675
angles: 60.00 60.00 60.00
With the nearest neighbours (Å) after each atom.
Fractional coordinates of all 6 atoms:
Cl (0.7500, 0.7500, 0.7500)  12 Tc 3.03, 4 Pt 3.16
Tc (0.8738, 0.3754, 0.3754)  6 Tc 2.58-2.59
Tc (0.3754, 0.3754, 0.3754)  6 Tc 2.58-2.59
Tc (0.3754, 0.3754, 0.8738)  6 Tc 2.58-2.59
Tc (0.3754, 0.8738, 0.3754)  6 Tc 2.58-2.59
Pt (0.0000, 0.0000, 0.0000)  12 Tc 3.03, 4 Cl 3.16

TmCrIn2S6 | PBE | relaxed

Calculated values
As for the volume: 21.7 A^3/atom. Its space group is R3, No. 146.

abc: 6.5293 6.5292 6.9770
angles: 62.10 62.10 60.00
With the nearest neighbours (Å) after each atom.
Fractional coordinates of all 10 atoms:
S (0.6198, 0.1948, 0.2721)  1 Cr 2.42, 1 In 2.57, 1 Tm 2.67
S (0.7177, 0.0809, 0.7517)  1 Cr 2.44, 1 In 2.58, 1 Tm 2.72
S (0.1948, 0.9132, 0.2721)  1 Cr 2.42, 1 In 2.57, 1 Tm 2.67
S (0.0809, 0.4497, 0.7517)  1 Cr 2.44, 1 In 2.58, 1 Tm 2.72
S (0.9133, 0.6198, 0.2721)  1 Cr 2.42, 1 In 2.57, 1 Tm 2.67
S (0.4497, 0.7177, 0.7517)  1 Cr 2.44, 1 In 2.58, 1 Tm 2.72
In (0.5181, 0.5181, 0.4458)  6 S 2.57-2.75
In (0.0273, 0.0273, 0.9181)  6 S 2.58-2.80
Cr (0.8229, 0.8229, 0.5313)  6 S 2.42-2.44
Tm (0.3171, 0.3171, 0.0486)  6 S 2.67-2.72

LaP2Ir2Rh | PBE | relaxed

Calculated values
As for the volume: 19.9 A^3/atom. Its space group is Pnnm, No. 58. For the energy of formation, the calculation gives -0.688 eV/atom.

abc: 3.9814 5.3912 11.0998
angles: 90.00 90.00 90.00
With the nearest neighbours (Å) after each atom.
Fractional coordinates of all 12 atoms:
La (0.0000, 0.0000, 0.5000)  4 Ir 3.20-3.47, 4 Rh 3.35, 4 P 3.35
La (0.5000, 0.5000, 0.0000)  4 Ir 3.20-3.47, 4 Rh 3.35, 4 P 3.35
P (0.0000, 0.8239, 0.8146)  3 Ir 2.20-2.28, 1 Rh 2.27
P (0.0000, 0.1761, 0.1854)  3 Ir 2.20-2.28, 1 Rh 2.27
P (0.5000, 0.3239, 0.6854)  3 Ir 2.20-2.28, 1 Rh 2.27
P (0.5000, 0.6761, 0.3146)  3 Ir 2.20-2.28, 1 Rh 2.27
Ir (0.0000, 0.4696, 0.3233)  3 P 2.20-2.28
Ir (0.5000, 0.0304, 0.8233)  3 P 2.20-2.28
Ir (0.5000, 0.9696, 0.1767)  3 P 2.20-2.28
Ir (0.0000, 0.5304, 0.6767)  3 P 2.20-2.28
Rh (0.0000, 0.0000, 0.0000)  2 P 2.27
Rh (0.5000, 0.5000, 0.5000)  2 P 2.27

SrMgCr2Si | PBE | relaxed

Calculated values
As for the volume: 23.3 A^3/atom. Its space group is P4/mmm, No. 123.

abc: 4.6628 5.3644 4.6628
angles: 90.00 90.00 90.00
With the nearest neighbours (Å) after each atom.
Fractional coordinates of all 5 atoms:
Mg (0.5000, 0.5000, 0.5000)  4 Si 3.30, 8 Cr 3.55
Cr (0.0000, 0.0000, 0.5000)  2 Sr 2.33
Cr (0.5000, 0.0000, 0.0000)  2 Sr 2.33
Sr (0.0000, 0.0000, 0.0000)  4 Cr 2.33
Si (0.0000, 0.5000, 0.0000)  2 Sr 2.68

So what do the calculations give for E? Going down the list: -3.033, -2.724, -8.368, -3.071, -3.486, -2.125, -3.597, -7.093, -7.349, -5.338, -7.491, -3.198 eV per atom.